Entry from the Alexandria database: crystalline YSiIr2 at its relaxed geometry (GGA-PBE).

```
data_YSiIr2
_chemical_formula_sum 'Y2 Si2 Ir4'
_symmetry_space_group_name_H-M 'C 1 2/m 1'
_symmetry_Int_Tables_number 12
_symmetry_space_group_name_Hall '-C 2y'
_cell_length_a 5.814
_cell_length_b 9.023
_cell_length_c 2.951
_cell_angle_alpha 90.00
_cell_angle_beta 118.84
_cell_angle_gamma 90.00
loop_
_atom_site_label
_atom_site_type_symbol
_atom_site_fract_x
_atom_site_fract_y
_atom_site_fract_z
Y1 Y 0.000 0.000 0.000
Si1 Si 0.000 0.500 0.000
Ir1 Ir 0.250 0.250 0.500
```

Properties
D(E_F) in states/eV/atom: 0.690
Theoretical density in Mg/m³: 12.28
ΔE_f (raw) in kcal/mol of atoms: -3.73